No. 1
Density functional theory data (GGA-PBE) for crystalline CdRhSe at its relaxed geometry.

abc: 6.1831 6.1831 6.1831
angles: 150.62 150.62 42.03
Last column: nearest neighbours and their distance in Å.
Element x y z (fractional)
Cd 0.0000 0.0000 0.0000  4 Rh 2.95, 4 Cd 3.14, 1 Se 3.26
Rh 0.6685 0.6685 0.0000  4 Se 2.58
Se 0.2823 0.2823 0.0000  4 Rh 2.58

Calculated values
- Symmetry: No. 107
- V: 18.91 Å³/atom
- DOS(E_F): 0.90 states/eV per atom
- Total DFT energy (no corrections): -4.015 eV/atom
- Size of the total moment: 0.00 μB per cell
- ΔE to the lowest computed polymorph: 82 meV per atom
- Formation energy (no corrections): -0.098 eV/atom

---

No. 2
Density functional theory data (GGA-PBE) for crystalline Cd2Rh2Se at its relaxed geometry.

abc: 6.5349 6.5349 4.3002
angles: 90.00 90.00 90.00
Last column: nearest neighbours and their distance in Å.
Element x y z (fractional)
Cd 0.1547 0.3453 0.0000  6 Rh 2.79-2.95, 1 Cd 2.86
Cd 0.3453 0.8453 0.0000  6 Rh 2.79-2.95, 1 Cd 2.86
Cd 0.6547 0.1547 0.0000  6 Rh 2.79-2.95, 1 Cd 2.86
Cd 0.8453 0.6547 0.0000  6 Rh 2.79-2.95, 1 Cd 2.86
Rh 0.1537 0.6537 0.5000  2 Se 2.48
Rh 0.3463 0.1537 0.5000  2 Se 2.48
Rh 0.6537 0.8463 0.5000  2 Se 2.48
Rh 0.8463 0.3463 0.5000  2 Se 2.48
Se 0.0000 0.0000 0.5000  4 Rh 2.48
Se 0.5000 0.5000 0.5000  4 Rh 2.48

Calculated values
- Symmetry: No. 127
- V: 18.36 Å³/atom
- DOS(E_F): 0.44 states/eV per atom
- Total DFT energy (no corrections): -4.111 eV/atom
- Size of the total moment: 0.00 μB per cell
- Formation energy (no corrections): -0.108 eV/atom

---

No. 3
Density functional theory data (GGA-PBE) for crystalline CdRhSe at its relaxed geometry.

abc: 3.3359 3.3359 6.1372
angles: 90.00 90.00 120.00
Last column: nearest neighbours and their distance in Å.
Element x y z (fractional)
Cd 0.0000 0.0000 0.0000  3 Rh 2.86, 3 Se 3.18
Rh 0.6667 0.3333 0.3446  3 Se 2.43
Se 0.3333 0.6667 0.5871  3 Rh 2.43

Calculated values
- Symmetry: No. 156
- V: 19.72 Å³/atom
- DOS(E_F): 0.36 states/eV per atom
- Total DFT energy (no corrections): -4.098 eV/atom
- Size of the total moment: 0.00 μB per cell
- ΔE to the lowest computed polymorph: 0 meV per atom
- Formation energy (no corrections): -0.181 eV/atom

---

No. 4
Density functional theory data (GGA-PBE) for crystalline CdRhSe2 at its relaxed geometry.

abc: 7.9486 7.9486 7.9486
angles: 26.49 26.49 26.49
Last column: nearest neighbours and their distance in Å.
Element x y z (fractional)
Cd 0.0000 0.0000 0.0000  3 Se 2.70, 3 Rh 2.93
Rh 0.2448 0.2448 0.2448  3 Se 2.39
Se 0.5286 0.5286 0.5286  3 Rh 2.39
Se 0.7400 0.7400 0.7400  3 Cd 2.70

Calculated values
- Symmetry: No. 160
- V: 22.02 Å³/atom
- DOS(E_F): 0.42 states/eV per atom
- Total DFT energy (no corrections): -3.971 eV/atom
- Size of the total moment: 0.00 μB per cell
- Formation energy (no corrections): -0.162 eV/atom